Record 1
# Ac12Pr6Mg GGA-PBE relaxed
data_Ac12Pr6Mg
_chemical_formula_sum 'Ac36 Pr18 Mg3'
_space_group_name_H-M_alt 'R -3'
_space_group_IT_number 148
_space_group_name_Hall '-R 3'
_cell_length_a 14.2369
_cell_length_b 14.2369
_cell_length_c 13.8910
_cell_angle_alpha 90.00
_cell_angle_beta 90.00
_cell_angle_gamma 120.00
loop_
_atom_site_label
_atom_site_type_symbol
_atom_site_fract_x
_atom_site_fract_y
_atom_site_fract_z
Ac1 Ac 0.0003 0.2602 0.0002
Ac2 Ac 0.0595 0.5298 0.1132
Pr1 Pr 0.0886 0.1781 0.7745
Mg1 Mg 0.0000 0.0000 0.0000
# * final energy: -4.019 eV/atom
# * total moment: 0.00 μB per formula unit

Record 2
# Ac4Pr3Mg2 GGA-PBE relaxed
data_Ac4Pr3Mg2
_chemical_formula_sum 'Ac8 Pr6 Mg4'
_space_group_name_H-M_alt 'C 1 2/m 1'
_space_group_IT_number 12
_cell_length_a 11.611
_cell_length_b 5.330
_cell_length_c 11.221
_cell_angle_alpha 90.00
_cell_angle_beta 106.32
_cell_angle_gamma 90.00
loop_
_space_group_symop_operation_xyz
'x,y,z'
'-x,-y,-z'
'-x,y,-z'
'x,-y,z'
'x+1/2,y+1/2,z'
'-x+1/2,-y+1/2,-z'
'-x+1/2,y+1/2,-z'
'x+1/2,-y+1/2,z'
loop_
_atom_site_label
_atom_site_type_symbol
_atom_site_fract_x
_atom_site_fract_y
_atom_site_fract_z
Ac1 Ac 0.002 0.000 0.170
Ac2 Ac 0.167 0.500 0.390
Pr1 Pr 0.000 0.000 0.500
Pr2 Pr 0.167 0.500 0.048
Mg1 Mg 0.167 0.500 0.724
# * final energy: -3.751 eV/atom
# * total moment: 0.00 μB per formula unit

Record 3
# Ac4PrMg5 GGA-PBE relaxed
data_Ac4PrMg5
_chemical_formula_sum 'Ac4 Pr1 Mg5'
_space_group_name_H-M_alt 'P 4/m m m'
_space_group_IT_number 123
_space_group_name_Hall '-P 4 2'
_cell_length_a 4.079
_cell_length_b 4.079
_cell_length_c 20.366
_cell_angle_alpha 90.00
_cell_angle_beta 90.00
_cell_angle_gamma 90.00
loop_
_atom_site_label
_atom_site_type_symbol
_atom_site_fract_x
_atom_site_fract_y
_atom_site_fract_z
Ac1 Ac 0.000 0.000 0.102
Ac2 Ac 0.000 0.000 0.306
Pr1 Pr 0.000 0.000 0.500
Mg1 Mg 0.500 0.500 0.000
Mg2 Mg 0.500 0.500 0.204
Mg3 Mg 0.500 0.500 0.411
# * final energy: -3.005 eV/atom
# * total moment: 0.00 μB per formula unit

Record 4
# Ac4Pr5Mg GGA-PBE relaxed
data_Ac4Pr5Mg
_chemical_formula_sum 'Ac4 Pr5 Mg1'
_space_group_name_H-M_alt 'P 4/m m m'
_space_group_IT_number 123
_space_group_name_Hall '-P 4 2'
_cell_length_a 3.889
_cell_length_b 3.889
_cell_length_c 25.228
_cell_angle_alpha 90.00
_cell_angle_beta 90.00
_cell_angle_gamma 90.00
loop_
_atom_site_label
_atom_site_type_symbol
_atom_site_fract_x
_atom_site_fract_y
_atom_site_fract_z
Ac1 Ac 0.000 0.000 0.105
Ac2 Ac 0.000 0.000 0.317
Pr1 Pr 0.500 0.500 0.000
Pr2 Pr 0.500 0.500 0.211
Pr3 Pr 0.500 0.500 0.421
Mg1 Mg 0.000 0.000 0.500
# * final energy: -4.201 eV/atom
# * total moment: 0.00 μB per formula unit

Record 5
# Ac6Pr2Mg GGA-PBE relaxed
data_Ac6Pr2Mg
_chemical_formula_sum 'Ac6 Pr2 Mg1'
_space_group_name_H-M_alt 'P -6 m 2'
_space_group_IT_number 187
_space_group_name_Hall 'P -6 2'
_cell_length_a 3.9024
_cell_length_b 3.9024
_cell_length_c 28.5555
_cell_angle_alpha 90.00
_cell_angle_beta 90.00
_cell_angle_gamma 120.00
loop_
_atom_site_label
_atom_site_type_symbol
_atom_site_fract_x
_atom_site_fract_y
_atom_site_fract_z
Ac1 Ac 0.0000 0.0000 0.0676
Ac2 Ac 0.0000 0.0000 0.2849
Ac3 Ac 0.3333 0.6667 0.4005
Pr1 Pr 0.3333 0.6667 0.1744
Mg1 Mg 0.0000 0.0000 0.5000
# * distance to the lowest polymorph of the same formula: 0.00 eV/f.u.
# * final energy: -3.897 eV/atom
# * total moment: 0.00 μB per formula unit

Record 6
# Ac6Pr12Mg GGA-PBE relaxed
data_Ac6Pr12Mg
_chemical_formula_sum 'Ac18 Pr36 Mg3'
_space_group_name_H-M_alt 'R -3'
_space_group_IT_number 148
_space_group_name_Hall '-R 3'
_cell_length_a 15.7766
_cell_length_b 15.7766
_cell_length_c 10.0333
_cell_angle_alpha 90.00
_cell_angle_beta 90.00
_cell_angle_gamma 120.00
loop_
_atom_site_label
_atom_site_type_symbol
_atom_site_fract_x
_atom_site_fract_y
_atom_site_fract_z
Ac1 Ac 0.0461 0.1619 0.2065
Pr1 Pr 0.0298 0.2407 0.5473
Pr2 Pr 0.0496 0.4507 0.5919
Mg1 Mg 0.0000 0.0000 0.5000
# * final energy: -4.257 eV/atom
# * total moment: 0.00 μB per formula unit